Entry from the Alexandria database: Cd2SiSb after structural relaxation (GGA-PBE).

Properties
- Energy: -2.488 eV per atom
- Fermi-level density of states: 4.27 states/eV per cell

Cell lengths 4.575, 4.575, 8.766 Å; angles 90.00, 90.00, 90.00 degrees
Space group I-4m2 (No. 119)
One atom of each set of equivalent atoms:
Cd  0.000  0.000  0.000 [2 per cell]
Cd  0.000  0.500  0.250 [2 per cell]
Si  0.000  0.000  0.500 [2 per cell]
Sb  0.000  0.500  0.750 [2 per cell]

Entry from the Alexandria database: Cd2SiSb after structural relaxation (GGA-PBE).

Properties
- Energy: -2.608 eV per atom
- Fermi-level density of states: 1.74 states/eV per cell

Cell lengths 2.917, 3.894, 8.416 Å; angles 90.00, 92.50, 90.00 degrees
Space group Pm (No. 6)
One atom of each set of equivalent atoms:
Cd  0.000  0.000  0.000 [1 per cell]
Cd  0.469  0.500  0.761 [1 per cell]
Si  0.383  0.500  0.232 [1 per cell]
Sb  0.399  0.000  0.463 [1 per cell]

Entry from the Alexandria database: CdSi2Sb after structural relaxation (GGA-PBE).

Properties
- Energy: -3.416 eV per atom
- Fermi-level density of states: 3.23 states/eV per cell

Cell lengths 4.118, 4.118, 9.958 Å; angles 90.00, 90.00, 90.00 degrees
Space group I-4m2 (No. 119)
One atom of each set of equivalent atoms:
Cd  0.000  0.000  0.000 [2 per cell]
Si  0.000  0.000  0.500 [2 per cell]
Si  0.000  0.500  0.250 [2 per cell]
Sb  0.000  0.500  0.750 [2 per cell]

Entry from the Alexandria database: CdSiSb2 after structural relaxation (GGA-PBE).

Properties
- Energy: -3.249 eV per atom
- Fermi-level density of states: 3.46 states/eV per cell

Cell lengths 6.665, 9.287, 3.234 Å; angles 90.00, 105.90, 90.00 degrees
Space group C2/m (No. 12)
One atom of each set of equivalent atoms:
Cd  0.000  0.000  0.000 [2 per cell]
Si  0.000  0.500  0.000 [2 per cell]
Sb  0.250  0.250  0.500 [4 per cell]

Entry from the Alexandria database: CdSi2Sb after structural relaxation (GGA-PBE).

Properties
- Energy: -3.399 eV per atom
- Fermi-level density of states: 3.84 states/eV per cell

Cell lengths 3.2279, 3.2279, 27.9089 Å; angles 90.00, 90.00, 120.00 degrees
Space group R-3m (No. 166, hexagonal axes)
One atom of each set of equivalent atoms:
Cd  0.0000  0.0000  0.0000 [3 per cell]
Si  0.0000  0.0000  0.2526 [6 per cell]
Sb  0.0000  0.0000  0.5000 [3 per cell]

Entry from the Alexandria database: CdSi2Sb after structural relaxation (GGA-PBE).

Properties
- Energy: -3.554 eV per atom
- Fermi-level density of states: 2.85 states/eV per cell

Cell lengths 6.876, 3.993, 6.827 Å; angles 90.00, 109.28, 90.00 degrees
Space group C2/m (No. 12)
One atom of each set of equivalent atoms:
Cd  0.000  0.000  0.000 [2 per cell]
Si  0.249  0.000  0.748 [4 per cell]
Sb  0.000  0.500  0.500 [2 per cell]

Entry from the Alexandria database: CdSi2Sb after structural relaxation (GGA-PBE).

Properties
- Energy: -3.427 eV per atom
- Fermi-level density of states: 1.73 states/eV per cell

Cell lengths 4.639, 4.639, 3.874 Å; angles 90.00, 90.00, 90.00 degrees
Space group P4/mmm (No. 123)
One atom of each set of equivalent atoms:
Cd  0.000  0.000  0.000 [1 per cell]
Si  0.000  0.500  0.500 [2 per cell]
Sb  0.500  0.500  0.000 [1 per cell]

Entry from the Alexandria database: CdSi2Sb after structural relaxation (GGA-PBE).

Properties
- Energy: -3.608 eV per atom
- Fermi-level density of states: 1.30 states/eV per cell

Cell lengths 3.356, 3.356, 7.543 Å; angles 90.00, 90.00, 90.00 degrees
Space group P4mm (No. 99)
One atom of each set of equivalent atoms:
Cd  0.000  0.000  0.000 [1 per cell]
Si  0.000  0.000  0.612 [1 per cell]
Si  0.500  0.500  0.708 [1 per cell]
Sb  0.500  0.500  0.319 [1 per cell]